Entry from the Alexandria database: an optimized crystal structure of CrCo2Si (GGA-PBE).

Summary:
The calculated total energy comes out at -7.463 eV per atom. The value obtained for the uncorrected formation energy is -0.1481 eV/atom. As for the calculated volume: 44 Å³ per cell. For the density, the calculation gives 7.43 g cm⁻³.

Lattice parameters (Å, degrees): 2.5714 3.5057 4.9063 90.00 90.00 90.00
With the nearest neighbours (Å) after each atom.
Space group Pmm2 (No. 25)
Inequivalent atoms, fractional coordinates:
Cr 0.0000 0.0000 0.0000 (multiplicity 1)  6 Co 2.41-2.48, 2 Cr 2.57, 4 Si 2.61
Co 0.0000 0.0000 0.4941 (multiplicity 1)  4 Si 2.38, 2 Cr 2.42-2.48, 6 Co 2.57-2.61
Co 0.5000 0.5000 0.7897 (multiplicity 1)  4 Cr 2.41, 2 Si 2.43-2.48, 6 Co 2.57-2.61
Si 0.5000 0.5000 0.2943 (multiplicity 1)  6 Co 2.38-2.48, 2 Si 2.57, 4 Cr 2.61

***

Entry from the Alexandria database: an optimized crystal structure of CrCo2Si (GGA-PBE).

Summary:
The calculated total energy comes out at -7.512 eV per atom. The value obtained for the uncorrected formation energy is -0.1975 eV/atom. As for the calculated volume: 87 Å³ per cell. For the density, the calculation gives 7.52 g cm⁻³.

Lattice parameters (Å, degrees): 8.2431 2.5771 4.1976 90.00 101.50 90.00
With the nearest neighbours (Å) after each atom.
Space group Cm (No. 8)
Inequivalent atoms, fractional coordinates:
Cr 0.0000 0.0000 0.0000 (multiplicity 2)  7 Co 2.36-2.47, 2 Cr 2.58, 3 Si 2.60-2.64
Co 0.0039 0.5000 0.4994 (multiplicity 2)  3 Si 2.36-2.40, 4 Cr 2.46-2.47, 5 Co 2.58-2.61
Co 0.2486 0.5000 0.1884 (multiplicity 2)  3 Cr 2.36-2.42, 4 Si 2.44-2.49, 5 Co 2.58-2.61
Si 0.2450 0.0000 0.6798 (multiplicity 2)  7 Co 2.36-2.49, 2 Si 2.58, 3 Cr 2.60-2.64

***

Entry from the Alexandria database: an optimized crystal structure of Cr2Co2Si (GGA-PBE).

Summary:
The relative energy among the computed polymorphs comes out at 142 meV/atom. The calculated total energy comes out at -7.493 eV per atom. The value obtained for the uncorrected formation energy is 0.2835 eV/atom. As for the calculated volume: 119 Å³ per cell. For the density, the calculation gives 6.97 g cm⁻³.

Lattice parameters (Å, degrees): 6.8633 6.8633 2.5286 90.00 90.00 90.00
With the nearest neighbours (Å) after each atom.
Space group P4/mbm (No. 127)
Inequivalent atoms, fractional coordinates:
Cr 0.1209 0.3791 0.0000 (multiplicity 4)  3 Cr 2.35-2.53, 6 Co 2.39
Co 0.1704 0.6704 0.5000 (multiplicity 4)  6 Cr 2.39, 2 Co 2.53
Si 0.0000 0.0000 0.0000 (multiplicity 2)  2 Si 2.53, 4 Cr 2.73